(1)
DFT (PBE) results for an optimized crystal structure of FeP2Ir.

Computed properties:
- Uncorrected energy: -27.1 eV/cell
- Space-group type: No. 47
- M_tot: 2.0 μB per formula unit
- ΔH_f (0 K): 6.15 kcal/mol of atoms

Cell and atoms, written as POSCAR:
```
FeP2Ir
1.0
-0.611 1.520 -2.316
-4.878 -1.110 0.558
-0.461 3.118 2.168
P Fe Ir
2 1 1
Direct
0.500 0.500 0.000 P
0.000 0.000 0.000 P
0.500 0.000 0.500 Fe
0.000 0.500 0.500 Ir
```

=====

(2)
DFT (PBE) results for an optimized crystal structure of Rb2Hg2S3.

Computed properties:
- Uncorrected energy: -19.1 eV/cell
- ΔE_f (raw): -0.59 eV per atom
- Space-group type: No. 12
- M_tot: 0.0 μB per formula unit

Cell and atoms, written as POSCAR:
```
Rb2Hg2S3
1.0
4.294 0.000 0.000
0.000 8.501 -1.048
-2.147 -3.447 6.392
S Hg Rb
3 2 2
Direct
0.822 0.389 0.645 S
0.178 0.611 0.355 S
0.000 0.000 0.000 S
0.797 0.706 0.594 Hg
0.203 0.294 0.406 Hg
0.547 0.770 0.095 Rb
0.453 0.230 0.905 Rb
```

=====

(3)
DFT (PBE) results for an optimized crystal structure of NaCd2Si2.

Computed properties:
- Uncorrected energy: -25.0 eV/cell
- ΔE_f (raw): 0.29 eV per atom
- Space-group type: No. 127
- M_tot: 0.0 μB per formula unit

Cell and atoms, written as POSCAR:
```
NaCd2Si2
1.0
-5.252 -6.562 -1.514
3.414 -4.249 6.575
-1.990 1.178 1.795
Cd Si Na
4 4 2
Direct
0.862 0.638 0.000 Cd
0.362 0.862 0.000 Cd
0.138 0.362 0.000 Cd
0.638 0.138 0.000 Cd
0.160 0.660 0.500 Si
0.340 0.160 0.500 Si
0.660 0.840 0.500 Si
0.840 0.340 0.500 Si
0.500 0.500 0.000 Na
0.000 0.000 0.000 Na
```

=====

(4)
DFT (PBE) results for an optimized crystal structure of Mn2ZnBr.

Computed properties:
- Uncorrected energy: -38.6 eV/cell
- ΔE_f (raw): 0.50 eV per atom
- Space-group type: No. 122
- M_tot: 8.0 μB per formula unit

Cell and atoms, written as POSCAR:
```
Mn2ZnBr
1.0
7.147 0.000 0.000
0.000 7.147 0.000
3.573 3.573 2.959
Zn Mn Br
2 4 2
Direct
0.250 0.750 0.500 Zn
0.500 0.500 0.000 Zn
0.129 0.625 0.250 Mn
0.621 0.125 0.250 Mn
0.375 0.379 0.750 Mn
0.875 0.871 0.750 Mn
0.750 0.250 0.500 Br
0.000 0.000 0.000 Br
```

=====

(5)
DFT (PBE) results for an optimized crystal structure of YCoS3.

Computed properties:
- Uncorrected energy: -24.8 eV/cell
- ΔE_f (raw): 0.23 eV per atom
- Space-group type: No. 221
- M_tot: 3.9 μB per formula unit

Cell and atoms, written as POSCAR:
```
YCoS3
1.0
5.194 0.000 0.000
0.000 5.194 0.000
0.000 0.000 5.194
S Y Co
3 1 1
Direct
0.500 0.000 0.000 S
0.000 0.500 0.000 S
0.000 0.000 0.500 S
0.000 0.000 0.000 Y
0.500 0.500 0.500 Co
```

=====

(6)
DFT (PBE) results for an optimized crystal structure of CeSc3Sb4.

Computed properties:
- Uncorrected energy: -49.0 eV/cell
- ΔE_f (raw): -0.95 eV per atom
- Space-group type: No. 65
- M_tot: 0.6 μB per formula unit

Cell and atoms, written as POSCAR:
```
CeSc3Sb4
1.0
-1.352 -2.677 3.024
4.512 -5.200 -2.586
6.516 0.517 3.371
Sc Sb Ce
3 4 1
Direct
0.000 0.000 0.000 Sc
0.000 0.500 0.500 Sc
0.500 0.000 0.500 Sc
0.000 0.236 0.264 Sb
0.000 0.764 0.736 Sb
0.500 0.757 0.257 Sb
0.500 0.243 0.743 Sb
0.500 0.500 0.000 Ce
```

=====

(7)
DFT (PBE) results for an optimized crystal structure of La2MgGa4Pt3.

Computed properties:
- Uncorrected energy: -50.6 eV/cell
- Space-group type: No. 115
- M_tot: 0.0 μB per formula unit
- ΔH_f (0 K): -20.59 kcal/mol of atoms

Cell and atoms, written as POSCAR:
```
La2MgGa4Pt3
1.0
4.311 0.000 0.000
0.000 4.311 0.000
0.000 0.000 10.991
Ga Pt La Mg
4 3 2 1
Direct
0.000 0.000 0.000 Ga
0.500 0.500 0.000 Ga
0.000 0.500 0.358 Ga
0.500 0.000 0.642 Ga
0.000 0.500 0.129 Pt
0.500 0.000 0.871 Pt
0.000 0.000 0.500 Pt
0.500 0.000 0.236 La
0.000 0.500 0.764 La
0.500 0.500 0.500 Mg
```

=====

(8)
DFT (PBE) results for an optimized crystal structure of InHRh3.

Computed properties:
- Uncorrected energy: -26.3 eV/cell
- Space-group type: No. 38
- M_tot: 0.0 μB per formula unit

Cell and atoms, written as POSCAR:
```
InHRh3
1.0
2.762 0.000 0.000
0.000 2.603 -6.480
0.000 2.603 6.480
Rh H In
3 1 1
Direct
0.500 0.144 0.330 Rh
0.000 0.274 0.726 Rh
0.500 0.670 0.856 Rh
0.000 0.445 0.555 H
0.500 0.095 0.905 In
```

=====

(9)
DFT (PBE) results for an optimized crystal structure of ErZrAlTc.

Computed properties:
- Uncorrected energy: -28.3 eV/cell
- Space-group type: No. 216
- M_tot: 0.0 μB per formula unit
- ΔH_f (0 K): -6.35 kcal/mol of atoms

Cell and atoms, written as POSCAR:
```
ErZrAlTc
1.0
-3.817 2.804 0.906
-4.232 -0.930 -2.116
-3.679 -1.704 2.611
Al Tc Zr Er
1 1 1 1
Direct
0.750 0.750 0.750 Al
0.250 0.250 0.250 Tc
0.000 0.000 0.000 Zr
0.500 0.500 0.500 Er
```

=====

(10)
DFT (PBE) results for an optimized crystal structure of CeTm3H.

Computed properties:
- Uncorrected energy: -23.3 eV/cell
- Space-group type: No. 221
- M_tot: 0.6 μB per formula unit

Cell and atoms, written as POSCAR:
```
CeTm3H
1.0
4.907 0.000 0.000
0.000 4.907 0.000
0.000 0.000 4.907
Ce Tm H
1 3 1
Direct
0.500 0.500 0.500 Ce
0.500 0.000 0.000 Tm
0.000 0.500 0.000 Tm
0.000 0.000 0.500 Tm
0.000 0.000 0.000 H
```

=====

(11)
DFT (PBE) results for an optimized crystal structure of ZrScSb2.

Computed properties:
- Uncorrected energy: -25.4 eV/cell
- ΔE_f (raw): -0.58 eV per atom
- Space-group type: No. 123
- M_tot: 0.0 μB per formula unit

Cell and atoms, written as POSCAR:
```
ZrScSb2
1.0
-2.057 2.393 2.106
-2.904 -0.373 -2.413
-2.223 -4.937 3.438
Sb Zr Sc
2 1 1
Direct
0.000 0.000 0.504 Sb
0.000 0.000 0.996 Sb
0.500 0.500 0.750 Zr
0.500 0.500 0.250 Sc
```

=====

(12)
DFT (PBE) results for an optimized crystal structure of KZrIn.

Computed properties:
- Uncorrected energy: -45.9 eV/cell
- Space-group type: No. 62
- M_tot: 0.4 μB per formula unit
- ΔH_f (0 K): 7.03 kcal/mol of atoms

Cell and atoms, written as POSCAR:
```
KZrIn
1.0
-5.911 -4.146 5.526
1.266 -4.202 -1.798
6.321 -0.749 6.199
Zr K In
4 4 4
Direct
0.899 0.750 0.550 Zr
0.101 0.250 0.450 Zr
0.399 0.750 0.950 Zr
0.601 0.250 0.050 Zr
0.993 0.750 0.140 K
0.493 0.750 0.360 K
0.507 0.250 0.640 K
0.007 0.250 0.860 K
0.205 0.750 0.656 In
0.295 0.250 0.156 In
0.705 0.750 0.844 In
0.795 0.250 0.344 In
```

=====

Repeat the fifth record exactly.
DFT (PBE) results for an optimized crystal structure of YCoS3.

Computed properties:
- Uncorrected energy: -24.8 eV/cell
- ΔE_f (raw): 0.23 eV per atom
- Space-group type: No. 221
- M_tot: 3.9 μB per formula unit

Cell and atoms, written as POSCAR:
```
YCoS3
1.0
5.194 0.000 0.000
0.000 5.194 0.000
0.000 0.000 5.194
S Y Co
3 1 1
Direct
0.500 0.000 0.000 S
0.000 0.500 0.000 S
0.000 0.000 0.500 S
0.000 0.000 0.000 Y
0.500 0.500 0.500 Co
```

=====

uncorrected energy of number 8 (InHRh3)? -26.3 eV/cell

=====

Copy entry 11 word for word.
DFT (PBE) results for an optimized crystal structure of ZrScSb2.

Computed properties:
- Uncorrected energy: -25.4 eV/cell
- ΔE_f (raw): -0.58 eV per atom
- Space-group type: No. 123
- M_tot: 0.0 μB per formula unit

Cell and atoms, written as POSCAR:
```
ZrScSb2
1.0
-2.057 2.393 2.106
-2.904 -0.373 -2.413
-2.223 -4.937 3.438
Sb Zr Sc
2 1 1
Direct
0.000 0.000 0.504 Sb
0.000 0.000 0.996 Sb
0.500 0.500 0.750 Zr
0.500 0.500 0.250 Sc
```

=====

What did the eleventh record say?
DFT (PBE) results for an optimized crystal structure of ZrScSb2.

Computed properties:
- Uncorrected energy: -25.4 eV/cell
- ΔE_f (raw): -0.58 eV per atom
- Space-group type: No. 123
- M_tot: 0.0 μB per formula unit

Cell and atoms, written as POSCAR:
```
ZrScSb2
1.0
-2.057 2.393 2.106
-2.904 -0.373 -2.413
-2.223 -4.937 3.438
Sb Zr Sc
2 1 1
Direct
0.000 0.000 0.504 Sb
0.000 0.000 0.996 Sb
0.500 0.500 0.750 Zr
0.500 0.500 0.250 Sc
```